DFT (GGA-PBE) results for a relaxed structure of Rb2PbF.

Cell and atoms, written as CIF:
```
data_Rb2PbF
_chemical_formula_sum 'Rb8 Pb4 F4'
_cell_length_a 8.184
_cell_length_b 8.184
_cell_length_c 9.917
_cell_angle_alpha 90.00
_cell_angle_beta 90.00
_cell_angle_gamma 90.00
_space_group_name_H-M_alt 'I -4 2 d'
_space_group_IT_number 122
_space_group_name_Hall 'I -4 2bw'
loop_
_atom_site_label
_atom_site_type_symbol
_atom_site_fract_x
_atom_site_fract_y
_atom_site_fract_z
_atom_site_occupancy
Rb1 Rb 0.130 0.250 0.125 1
Pb1 Pb 0.000 0.000 0.500 1
F1 F 0.000 0.000 0.000 1
```

Output
raw total energy: -2.982 eV/atom
magnetic moment: 0.0 Bohr magnetons per cell
energy relative to the elements, uncorrected: -1103 meV per atom
DOS(E_F): 0.26 states/eV/atom
ΔE to the lowest computed polymorph: 0.0000 eV per atom